Entry 1:
Gd2ErAu PBE optimized geometry; total magnetic moment = 15.58 μB per cell; formation enthalpy at 0 K = -0.26 eV/atom
1.0
4.676 0.000 0.000
0.000 4.676 0.000
0.000 0.000 4.851
Gd Er Au
2 1 1
Cartesian
0.000 2.338 0.000
2.338 0.000 0.000
0.000 0.000 2.426
2.338 2.338 2.426

=====

Entry 2:
Pb2WCl PBE optimized geometry; total magnetic moment = 0.41 μB per cell; formation energy without anion corrections = 498 meV/atom
1.0
3.104 0.000 0.000
0.000 5.196 0.000
-1.126 0.000 5.735
Pb W Cl
2 1 1
Cartesian
0.000 0.000 0.000
0.602 2.598 2.879
1.487 2.598 0.086
2.164 0.000 2.888

=====

Entry 3:
LaSmHoTh2 PBE optimized geometry; total magnetic moment = 0.00 μB per cell; formation enthalpy at 0 K = 0.40 eV/atom
1.0
3.354 -7.932 0.000
3.354 7.932 0.000
0.000 0.000 6.712
La Sm Ho Th
2 2 2 4
Cartesian
3.354 5.557 5.034
3.354 -5.557 1.678
3.354 2.428 5.034
3.354 -2.428 1.678
3.354 3.274 1.678
3.354 -3.274 5.034
1.711 0.000 0.000
1.711 0.000 3.356
4.997 0.000 0.000
4.997 0.000 3.356